V3BAs: relaxed, PBE.

* ρ: 6.1 g cm⁻³
* space-group type: Pm-3m (221)
* E above lowest polymorph: 0.00 eV per formula unit
* formation energy: -0.15 eV/f.u.
* total energy: -7.77 eV per atom

Cell: 4.028 4.028 4.028 Å, 90.00 90.00 90.00°
Site moments in Bohr magnetons follow the coordinates.
Positions (direct):
As 0.500 0.500 0.500  -0.01
B 0.000 0.000 0.000  0.01
V 0.000 0.500 0.000  0.24
V 0.000 0.000 0.500  0.24
V 0.500 0.000 0.000  0.24

In4OsAu: relaxed, PBE.

* ρ: 10.8 g cm⁻³
* space-group type: F-43m (216)
* formation energy: 5.30 eV/f.u.
* total energy: -3.36 eV per atom

Cell: 5.694 5.694 5.694 Å, 60.00 60.00 60.00°
Positions (direct):
In 0.874 0.375 0.375
In 0.375 0.375 0.874
In 0.375 0.874 0.375
In 0.375 0.375 0.375
Os 0.750 0.750 0.750
Au 0.000 0.000 0.000

The highest total energy belongs to which entry? In4OsAu